[1]
DFT (meta-GGA SCAN) results for a crystal of CoSi2P relaxed with PBEsol.

**E_form (uncorrected)**: 0.494 eV per atom
**Crystal system**: cubic

extended XYZ file:
```
4
Lattice="4.1319 0.0000 0.0000 2.0660 3.5783 0.0000 2.0660 1.1928 3.3737" Properties=species:S:1:pos:R:3 pbc="T T T"
Co 4.1319 2.3856 1.6868
P 2.0660 1.1928 0.8434
Si 6.1979 3.5783 2.5303
Si 0.0000 0.0000 0.0000
```



[2]
DFT (meta-GGA SCAN) results for a crystal of Na3Sc2P3O12 relaxed with PBEsol.

**E_form (uncorrected)**: -2.935 eV per atom
**Crystal system**: monoclinic

extended XYZ file:
```
40
Lattice="-2.0139 0.9088 -8.6292 1.8617 -6.5966 -5.6888 -6.9114 -4.8936 -3.3816" Properties=species:S:1:pos:R:3 pbc="T T T"
Na -5.9950 -4.4345 -5.4510
Na -5.5889 -5.6561 -10.0693
Na -1.2790 -4.8635 -7.7304
Na 0.0273 -6.0177 -11.3834
Na -4.5718 -6.2503 -13.9416
Na -1.9600 -3.1096 -3.3207
P -4.9445 -8.1988 -11.4199
P -2.3409 -4.1018 -10.3756
P -4.7445 -6.4886 -7.3079
P -2.1438 -2.3859 -6.2659
P -7.0267 -3.1151 -11.0678
P -0.0445 -7.4976 -6.7016
Sc 0.5316 -4.4442 -5.1552
Sc -7.6263 -6.2048 -12.5049
Sc -2.2564 -7.4649 -9.3619
Sc -4.8870 -3.0898 -8.3352
O -5.8529 -9.1305 -10.5831
O -5.2507 -5.0679 -7.6677
O -1.2112 -1.4472 -7.0811
O -1.3242 -3.5327 -5.6198
O -6.7524 -4.3407 -11.9747
O -6.6845 -9.4464 -16.6868
O -2.2376 -3.8288 -11.8859
O -0.5061 -7.2980 -8.1667
O -4.2633 -2.8216 -3.0345
O -3.8242 -3.9203 -9.9749
O -3.2471 -6.6435 -7.6947
O -2.7732 -1.5378 -5.1388
O -6.5560 -3.4444 -9.6267
O -4.8419 -6.6709 -5.7773
O -1.4491 -3.1358 -9.5717
O -0.4006 -6.2257 -5.8878
O -1.8241 -5.5225 -10.0422
O -5.6201 -7.4908 -8.0752
O -5.7499 -7.0589 -12.0897
O -3.9142 -7.5011 -10.5109
O -4.2513 -9.0684 -12.4826
O -3.2009 -3.0368 -7.1707
O -2.8342 -7.7636 -14.6967
O -0.3940 -1.1756 -1.0300
```



[3]
DFT (meta-GGA SCAN) results for a crystal of SrZr2Fe relaxed with PBEsol.

**Formation energy**: 428 meV/atom
**Crystal system**: orthorhombic

extended XYZ file:
```
4
Lattice="3.2522 0.0000 0.0000 0.0000 5.5233 0.0000 -1.6261 -2.7616 4.9884" Properties=species:S:1:pos:R:3 pbc="T T T"
Sr 0.0000 2.7616 0.0000
Zr 1.6261 2.7616 3.1037
Zr 0.0000 0.0000 1.8848
Fe 1.6261 0.0000 0.0000
```



[4]
DFT (meta-GGA SCAN) results for a crystal of CaScCr relaxed with PBEsol.

**Formation energy**: 255 meV/atom
**Crystal system**: tetragonal

extended XYZ file:
```
3
Lattice="-0.7545 -1.1988 3.0591 3.2724 -0.5562 0.5892 -0.7231 6.5056 0.5136" Properties=species:S:1:pos:R:3 pbc="T T T"
Cr 1.4548 1.1799 2.6787
Sc 0.3200 3.3611 1.3961
Ca 0.0200 0.2096 0.0871
```



[5]
DFT (meta-GGA SCAN) results for a crystal of LiNiI2 relaxed with PBEsol.

**E_form (uncorrected)**: -0.494 eV per atom
**Crystal system**: tetragonal

extended XYZ file:
```
8
Lattice="6.0806 0.0000 0.0000 0.0000 6.0806 0.0000 -3.0403 -3.0403 5.9783" Properties=species:S:1:pos:R:3 pbc="T T T"
Li 3.0403 0.0000 2.9891
Li 3.0403 3.0403 0.0000
Ni 0.0000 3.0403 2.9891
Ni 0.0000 0.0000 0.0000
I 1.3429 4.5605 1.4946
I 4.7377 1.5202 1.4946
I 1.5202 1.6974 4.4837
I -1.5202 -1.6974 4.4837
```



[6]
DFT (meta-GGA SCAN) results for a crystal of InGeN2F relaxed with PBEsol.

**E_form (uncorrected)**: 0.048 eV per atom
**Crystal system**: tetragonal

extended XYZ file:
```
5
Lattice="-0.7532 3.6403 -0.7582 -3.5009 -0.3938 1.5870 1.4440 1.0148 3.4373" Properties=species:S:1:pos:R:3 pbc="T T T"
In -1.4051 2.1306 2.1330
N -1.7505 -0.1969 0.7935
N 0.7220 0.5074 1.7187
F -0.3766 1.8201 -0.3791
Ge 0.0000 0.0000 0.0000
```



[7]
DFT (meta-GGA SCAN) results for a crystal of Ca4ScPt relaxed with PBEsol.

**Formation energy**: 555 meV/atom
**Crystal system**: cubic

extended XYZ file:
```
6
Lattice="-0.5424 -6.0645 -1.3342 0.8811 -4.2635 4.4608 -4.8394 -3.2545 2.2002" Properties=species:S:1:pos:R:3 pbc="T T T"
Ca -4.0994 -6.7209 3.0958
Ca -1.6902 -5.1008 2.0004
Ca -1.9602 -8.1198 1.3362
Ca -1.2516 -7.2232 4.2212
Pt -3.3755 -10.1868 3.9951
Sc 0.0000 0.0000 0.0000
```



[8]
DFT (meta-GGA SCAN) results for a crystal of LiCr4Mo relaxed with PBEsol.

**Formation energy**: 346 meV/atom
**Crystal system**: cubic

extended XYZ file:
```
6
Lattice="-0.6629 4.4239 -1.4837 -4.2960 1.4269 -1.3114 -2.3900 3.0515 2.6810" Properties=species:S:1:pos:R:3 pbc="T T T"
Cr -2.4566 4.8467 0.5784
Cr -4.5845 5.5535 -0.0712
Cr -3.4007 4.0420 -1.3991
Cr -4.2561 3.3623 0.6637
Li -1.8372 2.2256 -0.0285
Mo 0.0000 0.0000 0.0000
```



[9]
DFT (meta-GGA SCAN) results for a crystal of CaGa3Si relaxed with PBEsol.

**E_form (uncorrected)**: 1.251 eV per atom
**Crystal system**: cubic

extended XYZ file:
```
5
Lattice="-0.2799 5.0846 1.4773 -4.6553 0.4685 -2.4944 -2.5225 -1.4288 4.4395" Properties=species:S:1:pos:R:3 pbc="T T T"
Ga -0.1400 2.5423 0.7387
Ga -2.3277 0.2342 -1.2472
Ga -1.2613 -0.7144 2.2197
Si -3.7289 2.0621 1.7112
Ca 0.0000 0.0000 0.0000
```



[10]
DFT (meta-GGA SCAN) results for a crystal of KSb2Br relaxed with PBEsol.

**E_form (uncorrected)**: 0.118 eV per atom
**Crystal system**: orthorhombic

extended XYZ file:
```
4
Lattice="3.3948 -0.0085 0.0000 -0.7865 3.3024 0.0000 0.0000 0.0000 10.0965" Properties=species:S:1:pos:R:3 pbc="T T T"
Br 1.3041 1.6470 5.0483
K 1.3041 1.6470 0.0000
Sb 0.0000 0.0000 7.2856
Sb 0.0000 0.0000 2.8109
```



[11]
DFT (meta-GGA SCAN) results for a crystal of FeNiCl relaxed with PBEsol.

**E_form (uncorrected)**: 0.235 eV per atom
**Crystal system**: tetragonal

extended XYZ file:
```
3
Lattice="-1.9209 1.8102 -0.9576 -1.6140 -2.1463 -0.8197 -0.4634 0.1498 5.3289" Properties=species:S:1:pos:R:3 pbc="T T T"
Cl -0.0390 -0.0003 0.0777
Ni -1.4313 -0.0117 2.8488
Fe -2.5280 -0.1743 0.6250
```



[12]
DFT (meta-GGA SCAN) results for a crystal of TaCd2Os relaxed with PBEsol.

**Formation energy**: 208 meV/atom
**Crystal system**: trigonal

extended XYZ file:
```
4
Lattice="-2.0902 -1.7320 1.0678 -0.6109 -2.5305 -1.3161 5.5977 -5.8602 5.4365" Properties=species:S:1:pos:R:3 pbc="T T T"
Cd -2.6523 -4.2958 -0.2069
Cd 2.0670 -7.5200 3.8015
Ta 0.8741 -2.6332 1.4244
Os 1.3549 -4.9975 2.5147
```



[13]
DFT (meta-GGA SCAN) results for a crystal of ErAu3 relaxed with PBEsol.

**Formation energy**: -878 meV/atom
**Crystal system**: orthorhombic

extended XYZ file:
```
8
Lattice="4.9356 0.0000 0.0000 0.0000 5.0535 0.0000 0.0000 0.0000 5.9945" Properties=species:S:1:pos:R:3 pbc="T T T"
Au 0.0000 4.2377 1.5330
Au 2.4678 0.8158 1.4642
Au 0.0000 4.2377 4.4615
Au 0.0000 1.6875 2.9973
Au 2.4678 3.3660 0.0000
Au 2.4678 0.8158 4.5303
Er 0.0000 1.7400 0.0000
Er 2.4678 3.3135 2.9973
```



[14]
DFT (meta-GGA SCAN) results for a crystal of CaScRe2 relaxed with PBEsol.

**Formation energy**: 441 meV/atom
**Crystal system**: monoclinic

extended XYZ file:
```
4
Lattice="-0.2786 1.9175 -2.0063 -0.4339 -3.3390 -3.1310 -5.7794 -0.7058 1.5537" Properties=species:S:1:pos:R:3 pbc="T T T"
Sc -0.3562 -0.7107 -2.5686
Ca -3.1067 -2.0224 -0.7886
Re -4.8807 0.9453 -0.3316
Re -1.1773 0.2663 -0.1209
```



[15]
DFT (meta-GGA SCAN) results for a crystal of SrMnZn relaxed with PBEsol.

**Formation energy**: 14 meV/atom
**Crystal system**: hexagonal

extended XYZ file:
```
3
Lattice="-2.1997 3.7549 0.8574 -1.0947 -1.5374 3.9242 3.6817 2.2709 -0.4992" Properties=species:S:1:pos:R:3 pbc="T T T"
Zn -0.6024 1.6095 2.8784
Sr 2.0896 1.0014 0.9753
Mn -1.0999 1.8775 0.4287
```



[16]
DFT (meta-GGA SCAN) results for a crystal of Ag2Pt relaxed with PBEsol.

**Formation energy**: 62 meV/atom
**Crystal system**: trigonal

extended XYZ file:
```
3
Lattice="-1.8592 0.1513 -1.9968 1.5487 -3.8554 -1.7340 -3.2973 -0.0742 3.0645" Properties=species:S:1:pos:R:3 pbc="T T T"
Ag -2.8927 -1.2361 0.1647
Ag -0.7151 -2.5422 -0.8310
Pt 0.0000 0.0000 0.0000
```



[17]
DFT (meta-GGA SCAN) results for a crystal of V9Ga4Fe3 relaxed with PBEsol.

**Formation energy**: -236 meV/atom
**Crystal system**: monoclinic

extended XYZ file:
```
16
Lattice="-1.6046 2.0930 -3.7665 -1.5071 -4.0622 -1.6152 -8.1470 1.3841 4.2398" Properties=species:S:1:pos:R:3 pbc="T T T"
V -1.7470 -1.8749 -0.2976
V -7.3257 2.6023 0.3598
V -6.5250 1.5578 2.2393
V -3.9184 -3.1807 -1.5039
V -1.9329 -1.9606 -3.0726
V -5.2589 0.7170 -0.1677
V -4.7192 -2.1360 -3.3838
V -5.8596 -1.1828 1.8390
V -6.0188 -1.3157 -0.9735
Fe -1.1921 0.0521 -2.2698
Fe -7.8862 -0.8225 2.9026
Fe -3.7949 -1.5240 0.7699
Ga -4.0665 0.6811 2.1109
Ga -3.5863 -0.6248 -1.6260
Ga -7.7005 0.0639 0.5094
Ga -8.1428 1.3574 4.2233
```



[18]
DFT (meta-GGA SCAN) results for a crystal of Y3Si2Ni2 relaxed with PBEsol.

**E_form (uncorrected)**: -0.739 eV per atom
**Crystal system**: orthorhombic

extended XYZ file:
```
7
Lattice="4.0168 0.0000 0.0000 0.0000 4.0497 0.0000 -2.0084 -2.0249 8.3750" Properties=species:S:1:pos:R:3 pbc="T T T"
Ni 0.0000 0.0000 7.2180
Ni 2.0084 2.0249 1.1570
Y 0.0000 0.0000 0.0000
Y 0.0000 2.0249 5.3399
Y 2.0084 0.0000 3.0352
Si 0.0000 2.0249 2.3054
Si 2.0084 0.0000 6.0696
```



[19]
DFT (meta-GGA SCAN) results for a crystal of LiPb2 relaxed with PBEsol.

**Formation energy**: -233 meV/atom
**Crystal system**: tetragonal

extended XYZ file:
```
6
Lattice="5.7356 0.2305 0.0000 -2.6255 5.1046 0.0000 -1.5551 -2.6676 4.8391" Properties=species:S:1:pos:R:3 pbc="T T T"
Pb -0.5352 3.8861 0.7129
Pb -0.6159 0.3590 2.4195
Pb 2.0903 -1.2185 4.1262
Pb 2.1709 2.3085 2.4195
Li 2.3326 4.0013 0.0000
Li 0.7775 1.3338 0.0000
```



[20]
DFT (meta-GGA SCAN) results for a crystal of Dy3Ga9Pt2 relaxed with PBEsol.

**Formation energy**: -820 meV/atom
**Crystal system**: orthorhombic

extended XYZ file:
```
14
Lattice="4.1469 0.0000 0.0000 2.0734 7.8268 -0.0923 2.0734 1.6842 7.6440" Properties=species:S:1:pos:R:3 pbc="T T T"
Pt 4.1469 6.1402 2.0319
Pt 4.1469 3.3708 5.5198
Dy 4.1469 6.4425 5.1154
Dy 4.1469 3.0684 2.4363
Dy 0.0000 0.0000 0.0000
Ga 2.0734 2.3671 0.3056
Ga 6.2203 7.1439 7.2461
Ga 6.2203 7.3498 3.0555
Ga 2.0734 2.1612 4.4962
Ga 2.0734 4.8690 1.0858
Ga 2.0734 0.8342 2.2362
Ga 6.2203 4.6420 6.4659
Ga 2.0734 4.7555 3.7759
Ga 6.2203 8.6768 5.3155
```



| no. | DOS(E_F) (states/eV/atom) | DFT total energy (eV for the cell shown) |
| --- | --- | --- |
| 1 | 0.326 | -45.76 |
| 2 | 0.000 | -411.59 |
| 3 | 0.899 | -100.09 |
| 4 | 0.766 | -41.52 |
| 5 | 0.639 | -188.04 |
| 6 | 0.255 | -74.36 |
| 7 | 1.523 | -119.75 |
| 8 | 1.558 | -108.74 |
| 9 | 0.681 | -62.47 |
| 10 | 0.600 | -101.84 |
| 11 | 0.474 | -41.57 |
| 12 | 0.619 | -198.46 |
| 13 | 0.319 | -522.65 |
| 14 | 1.030 | -164.33 |
| 15 | 0.942 | -54.00 |
| 16 | 0.302 | -132.74 |
| 17 | 0.686 | -280.95 |
| 18 | 0.729 | -141.08 |
| 19 | 0.291 | -309.30 |
| 20 | 0.280 | -442.38 |